Below is a geometry-optimized ZrTaCu2 structure, with properties calculated at the PBE-GGA level.

POSCAR file:
```
ZrTaCu2
1.0
6.4794 0.0268 0.0809
-2.6269 4.0927 -0.0470
1.2255 0.8058 2.4363
Cu Ta Zr
2 1 1
direct
0.0000 0.0000 0.0000
0.5000 0.0000 0.5000
0.0000 0.5000 0.5000
0.5000 0.5000 0.0000
```

space-group type = C2/m
N(E_F) = 3.78 states/eV per cell
V = 64.4 Å³ per cell
ΔH_f (0 K) = 0.07 eV per atom

---

Below is a geometry-optimized Ca2YHg2 structure, with properties calculated at the PBE-GGA level.

POSCAR file:
```
Ca2YHg2
1.0
5.2014 0.0000 0.0000
0.0000 5.3419 -0.0712
0.0000 0.1605 11.0577
Ca Y Hg
4 2 4
direct
0.7500 0.2502 0.9968
0.2500 0.7496 0.6752
0.2500 0.7498 0.0032
0.7500 0.2504 0.3248
0.7500 0.2495 0.6647
0.2500 0.7505 0.3353
0.2500 0.2499 0.4982
0.7500 0.7506 0.1733
0.2500 0.2494 0.8267
0.7500 0.7501 0.5018
```

space-group type = P2_1/m
N(E_F) = 10.54 states/eV per cell
V = 307.3 Å³ per cell
ΔH_f (0 K) = -0.36 eV per atom
energy above the most stable polymorph in this dataset = 0.18 eV per formula unit